This record from Alexandria describes Ba3SrZn after structural relaxation. The functional is PBE.

V: 50.80 A^3/atom
Crystal system: monoclinic
Energy of formation: -34 meV/atom
ΔE to the lowest computed polymorph: 0.000 eV per atom

a = 10.607 Å, b = 4.517 Å, c = 11.221 Å
α = 90.00°, β = 109.10°, γ = 90.00°
Space group P2_1/m (No. 11)
Symmetry-distinct sites (fractional):
1 Ba 0.015 0.250 0.312 (multiplicity 2)
2 Ba 0.284 0.750 0.184 (multiplicity 2)
3 Ba 0.325 0.250 0.886 (multiplicity 2)
4 Sr 0.364 0.750 0.575 (multiplicity 2)
5 Zn 0.051 0.250 0.985 (multiplicity 2)